The following is a GGA-PBE calculation of Mn2HgSb after structural relaxation, from the Alexandria database.

Output
- ΔE_f (raw) (kJ/mol of formula units) = 119
- crystal system = monoclinic

Unit cell a=3.726 b=4.161 c=5.421 alpha=90.00 beta=110.05 gamma=90.00
Element x y z (fractional)
1 Mn 0.000 0.000 0.000
2 Mn 0.183 0.500 0.373
3 Hg 0.456 0.500 0.913
4 Sb 0.719 0.000 0.444

The following is a GGA-PBE calculation of BaCu3SiGe after structural relaxation, from the Alexandria database.

Output
- ΔE_f (raw) (kJ/mol of formula units) = -52
- crystal system = orthorhombic

Unit cell a=7.177 b=7.177 c=6.015 alpha=90.00 beta=90.00 gamma=127.36
Element x y z (fractional)
1 Ba 0.240 0.760 0.750
2 Ba 0.760 0.240 0.250
3 Cu 0.209 0.791 0.250
4 Cu 0.287 0.287 0.000
5 Cu 0.287 0.287 0.500
6 Cu 0.713 0.713 0.000
7 Cu 0.713 0.713 0.500
8 Cu 0.791 0.209 0.750
9 Si 0.036 0.964 0.250
10 Si 0.964 0.036 0.750
11 Ge 0.391 0.609 0.250
12 Ge 0.609 0.391 0.750

The following is a GGA-PBE calculation of Ca4PuZn5 after structural relaxation, from the Alexandria database.

Output
- energy of formation (meV per atom) = -188
- crystal system = tetragonal

Unit cell a=3.617 b=3.617 c=18.692 alpha=90.00 beta=90.00 gamma=90.00
Element x y z (fractional)
1 Ca 0.000 0.000 0.101
2 Ca 0.000 0.000 0.301
3 Ca 0.000 0.000 0.699
4 Ca 0.000 0.000 0.899
5 Pu 0.000 0.000 0.500
6 Zn 0.500 0.500 0.000
7 Zn 0.500 0.500 0.201
8 Zn 0.500 0.500 0.404
9 Zn 0.500 0.500 0.596
10 Zn 0.500 0.500 0.799

The following is a GGA-PBE calculation of BaNi2Se after structural relaxation, from the Alexandria database.

Output
- ΔE_f (raw) (kJ/mol of formula units) = -6
- crystal system = tetragonal

Unit cell a=3.420 b=3.420 c=6.880 alpha=90.00 beta=90.00 gamma=90.00
Element x y z (fractional)
1 Ba 0.000 0.000 0.000
2 Ni 0.000 0.000 0.483
3 Ni 0.500 0.500 0.311
4 Se 0.500 0.500 0.637

D(E_F) list, top to bottom, in states/eV per atom: 1.04, 0.36, 1.19, 1.25